A plane-wave DFT calculation with GGA-PBE was carried out for NbAgPd3 after structural relaxation.

Output
- energy above the lowest structure with this stoichiometry (meV/atom) = 0

Geometry as POSCAR:
```
NbAgPd3
1.0
4.998 0.000 0.000
1.718 5.399 0.000
1.682 0.827 6.017
Nb Ag Pd
2 2 6
Direct
0.215 0.276 0.100 Nb
0.785 0.724 0.900 Nb
0.397 0.602 0.696 Ag
0.603 0.398 0.304 Ag
0.000 0.000 0.500 Pd
0.000 0.500 0.500 Pd
0.191 0.786 0.101 Pd
0.406 0.094 0.714 Pd
0.594 0.906 0.286 Pd
0.809 0.214 0.899 Pd
```

A plane-wave DFT calculation with GGA-PBE was carried out for Nb2AgPd2 after structural relaxation.

Output
- energy above the lowest structure with this stoichiometry (meV/atom) = 0

Geometry as POSCAR:
```
Nb2AgPd2
1.0
7.855 0.000 0.000
0.000 7.855 0.000
0.000 0.000 2.846
Nb Ag Pd
4 2 4
Direct
0.170 0.330 0.000 Nb
0.330 0.830 0.000 Nb
0.670 0.170 0.000 Nb
0.830 0.670 0.000 Nb
0.000 0.000 0.500 Ag
0.500 0.500 0.500 Ag
0.126 0.626 0.500 Pd
0.374 0.126 0.500 Pd
0.626 0.874 0.500 Pd
0.874 0.374 0.500 Pd
```

A plane-wave DFT calculation with GGA-PBE was carried out for NbAg2Pd8 after structural relaxation.

Geometry as POSCAR:
```
NbAg2Pd8
1.0
4.076 -5.399 0.000
4.076 5.399 0.000
0.000 0.000 4.250
Nb Ag Pd
1 2 8
Direct
0.000 0.000 0.000 Nb
0.377 0.623 0.500 Ag
0.623 0.377 0.500 Ag
0.038 0.297 0.500 Pd
0.237 0.763 0.000 Pd
0.297 0.038 0.500 Pd
0.325 0.325 0.000 Pd
0.675 0.675 0.000 Pd
0.703 0.962 0.500 Pd
0.763 0.237 0.000 Pd
0.962 0.703 0.500 Pd
```

A plane-wave DFT calculation with GGA-PBE was carried out for NbAgPd3 after structural relaxation.

Output
- energy above the lowest structure with this stoichiometry (meV/atom) = 1038

Geometry as POSCAR:
```
NbAgPd3
1.0
4.837 0.000 0.000
0.000 4.837 0.000
0.000 0.000 4.837
Nb Ag Pd
1 1 3
Direct
0.000 0.000 0.000 Nb
0.500 0.500 0.500 Ag
0.000 0.000 0.500 Pd
0.000 0.500 0.000 Pd
0.500 0.000 0.000 Pd
```

A plane-wave DFT calculation with GGA-PBE was carried out for NbAgPd after structural relaxation.

Output
- energy above the lowest structure with this stoichiometry (meV/atom) = 105

Geometry as POSCAR:
```
NbAgPd
1.0
2.869 0.000 0.000
-1.435 2.485 0.000
0.000 0.000 7.205
Nb Ag Pd
1 1 1
Direct
0.000 0.000 0.000 Nb
0.333 0.667 0.648 Ag
0.667 0.333 0.312 Pd
```

A plane-wave DFT calculation with GGA-PBE was carried out for NbAgPd2 after structural relaxation.

Output
- energy above the lowest structure with this stoichiometry (meV/atom) = 534

Geometry as POSCAR:
```
NbAgPd2
1.0
-3.607 3.607 2.811
3.607 -3.607 2.811
3.607 3.607 -2.811
Nb Ag Pd
2 2 4
Direct
0.000 0.000 0.000 Nb
0.750 0.250 0.500 Nb
0.250 0.750 0.500 Ag
0.500 0.500 0.000 Ag
0.106 0.625 0.981 Pd
0.375 0.356 0.481 Pd
0.644 0.125 0.019 Pd
0.875 0.894 0.519 Pd
```

A plane-wave DFT calculation with GGA-PBE was carried out for Nb3AgPd after structural relaxation.

Output
- energy above the lowest structure with this stoichiometry (meV/atom) = 0

Geometry as POSCAR:
```
Nb3AgPd
1.0
4.856 0.000 0.000
0.000 4.856 0.000
0.000 0.000 4.856
Nb Ag Pd
3 1 1
Direct
0.000 0.000 0.500 Nb
0.000 0.500 0.000 Nb
0.500 0.000 0.000 Nb
0.500 0.500 0.500 Ag
0.000 0.000 0.000 Pd
```

A plane-wave DFT calculation with GGA-PBE was carried out for NbAgPd2 after structural relaxation.

Output
- energy above the lowest structure with this stoichiometry (meV/atom) = 76

Geometry as POSCAR:
```
NbAgPd2
1.0
1.441 0.832 9.287
-1.441 0.832 9.287
0.000 -1.663 9.287
Nb Ag Pd
1 1 2
Direct
0.000 0.000 0.000 Nb
0.500 0.500 0.500 Ag
0.253 0.253 0.253 Pd
0.747 0.747 0.747 Pd
```

A plane-wave DFT calculation with GGA-PBE was carried out for NbAgPd2 after structural relaxation.

Output
- energy above the lowest structure with this stoichiometry (meV/atom) = 0

Geometry as POSCAR:
```
NbAgPd2
1.0
2.902 0.000 0.000
0.000 2.902 0.000
0.000 0.000 7.883
Nb Ag Pd
1 1 2
Direct
0.000 0.000 0.000 Nb
0.000 0.000 0.500 Ag
0.500 0.500 0.242 Pd
0.500 0.500 0.758 Pd
```

A plane-wave DFT calculation with GGA-PBE was carried out for NbAg2Pd after structural relaxation.

Output
- energy above the lowest structure with this stoichiometry (meV/atom) = 380

Geometry as POSCAR:
```
NbAg2Pd
1.0
-3.754 3.754 2.687
3.754 -3.754 2.687
3.754 3.754 -2.687
Nb Ag Pd
2 4 2
Direct
0.000 0.000 0.000 Nb
0.750 0.250 0.500 Nb
0.134 0.625 0.009 Ag
0.375 0.384 0.509 Ag
0.616 0.125 0.991 Ag
0.875 0.866 0.491 Ag
0.250 0.750 0.500 Pd
0.500 0.500 0.000 Pd
```

A plane-wave DFT calculation with GGA-PBE was carried out for NbAg2Pd after structural relaxation.

Output
- energy above the lowest structure with this stoichiometry (meV/atom) = 0

Geometry as POSCAR:
```
NbAg2Pd
1.0
0.000 3.247 3.247
3.247 0.000 3.247
3.247 3.247 0.000
Nb Ag Pd
1 2 1
Direct
0.000 0.000 0.000 Nb
0.250 0.250 0.250 Ag
0.750 0.750 0.750 Ag
0.500 0.500 0.500 Pd
```

A plane-wave DFT calculation with GGA-PBE was carried out for NbAgPd2 after structural relaxation.

Output
- energy above the lowest structure with this stoichiometry (meV/atom) = 153

Geometry as POSCAR:
```
NbAgPd2
1.0
0.000 3.213 3.213
3.213 0.000 3.213
3.213 3.213 0.000
Nb Ag Pd
1 1 2
Direct
0.000 0.000 0.000 Nb
0.500 0.500 0.500 Ag
0.250 0.250 0.250 Pd
0.750 0.750 0.750 Pd
```

A plane-wave DFT calculation with GGA-PBE was carried out for NbAg3Pd12 after structural relaxation.

Geometry as POSCAR:
```
NbAg3Pd12
1.0
3.994 0.000 0.000
0.000 3.994 0.000
0.000 0.000 15.950
Nb Ag Pd
1 3 12
Direct
0.000 0.000 0.000 Nb
0.000 0.000 0.250 Ag
0.000 0.000 0.500 Ag
0.000 0.000 0.750 Ag
0.000 0.500 0.120 Pd
0.000 0.500 0.375 Pd
0.000 0.500 0.625 Pd
0.000 0.500 0.880 Pd
0.500 0.000 0.120 Pd
0.500 0.000 0.375 Pd
0.500 0.000 0.625 Pd
0.500 0.000 0.880 Pd
0.500 0.500 0.000 Pd
0.500 0.500 0.248 Pd
0.500 0.500 0.500 Pd
0.500 0.500 0.752 Pd
```

A plane-wave DFT calculation with GGA-PBE was carried out for NbAg2Pd9 after structural relaxation.

Geometry as POSCAR:
```
NbAg2Pd9
1.0
3.993 0.000 0.000
0.000 3.993 0.000
0.000 0.000 11.964
Nb Ag Pd
1 2 9
Direct
0.000 0.000 0.000 Nb
0.000 0.000 0.333 Ag
0.000 0.000 0.667 Ag
0.000 0.500 0.159 Pd
0.000 0.500 0.500 Pd
0.000 0.500 0.841 Pd
0.500 0.000 0.159 Pd
0.500 0.000 0.500 Pd
0.500 0.000 0.841 Pd
0.500 0.500 0.000 Pd
0.500 0.500 0.329 Pd
0.500 0.500 0.671 Pd
```

A plane-wave DFT calculation with GGA-PBE was carried out for NbAg2Pd5 after structural relaxation.

Geometry as POSCAR:
```
NbAg2Pd5
1.0
-2.018 2.018 7.944
2.018 -2.018 7.944
2.018 2.018 -7.944
Nb Ag Pd
1 2 5
Direct
0.000 0.000 0.000 Nb
0.253 0.253 0.000 Ag
0.747 0.747 0.000 Ag
0.119 0.619 0.500 Pd
0.381 0.881 0.500 Pd
0.500 0.500 0.000 Pd
0.619 0.119 0.500 Pd
0.881 0.381 0.500 Pd
```

A plane-wave DFT calculation with GGA-PBE was carried out for Nb2AgPd2 after structural relaxation.

Output
- energy above the lowest structure with this stoichiometry (meV/atom) = 85

Geometry as POSCAR:
```
Nb2AgPd2
1.0
7.986 0.000 0.000
0.000 7.986 0.000
0.000 0.000 2.815
Nb Ag Pd
4 2 4
Direct
0.118 0.382 0.000 Nb
0.382 0.882 0.000 Nb
0.618 0.118 0.000 Nb
0.882 0.618 0.000 Nb
0.000 0.000 0.000 Ag
0.500 0.500 0.000 Ag
0.175 0.675 0.500 Pd
0.325 0.175 0.500 Pd
0.675 0.825 0.500 Pd
0.825 0.325 0.500 Pd
```

A plane-wave DFT calculation with GGA-PBE was carried out for NbAgPd after structural relaxation.

Output
- energy above the lowest structure with this stoichiometry (meV/atom) = 0

Geometry as POSCAR:
```
NbAgPd
1.0
3.195 0.000 0.000
-0.007 3.468 0.000
0.000 -0.017 9.339
Nb Ag Pd
2 2 2
Direct
0.249 0.251 0.090 Nb
0.751 0.749 0.910 Nb
0.250 0.250 0.416 Ag
0.750 0.750 0.584 Ag
0.251 0.249 0.760 Pd
0.749 0.751 0.240 Pd
```

A plane-wave DFT calculation with GGA-PBE was carried out for Nb2AgPd7 after structural relaxation.

Geometry as POSCAR:
```
Nb2AgPd7
1.0
3.567 -6.761 0.000
3.567 6.761 0.000
0.000 0.000 4.196
Nb Ag Pd
2 1 7
Direct
0.198 0.802 0.000 Nb
0.802 0.198 0.000 Nb
0.500 0.500 0.500 Ag
0.000 0.000 0.000 Pd
0.202 0.420 0.000 Pd
0.299 0.701 0.500 Pd
0.420 0.202 0.000 Pd
0.580 0.798 0.000 Pd
0.701 0.299 0.500 Pd
0.798 0.580 0.000 Pd
```

A plane-wave DFT calculation with GGA-PBE was carried out for Nb2AgPd9 after structural relaxation.

Geometry as POSCAR:
```
Nb2AgPd9
1.0
3.985 0.000 0.000
0.000 3.985 0.000
0.000 0.000 11.955
Nb Ag Pd
2 1 9
Direct
0.000 0.000 0.174 Nb
0.000 0.000 0.826 Nb
0.000 0.000 0.500 Ag
0.000 0.500 0.000 Pd
0.000 0.500 0.325 Pd
0.000 0.500 0.675 Pd
0.500 0.000 0.000 Pd
0.500 0.000 0.325 Pd
0.500 0.000 0.675 Pd
0.500 0.500 0.162 Pd
0.500 0.500 0.500 Pd
0.500 0.500 0.838 Pd
```

A plane-wave DFT calculation with GGA-PBE was carried out for Nb3AgPd after structural relaxation.

Output
- energy above the lowest structure with this stoichiometry (meV/atom) = 547

Geometry as POSCAR:
```
Nb3AgPd
1.0
4.884 0.000 0.000
0.000 4.884 0.000
0.000 0.000 4.884
Nb Ag Pd
3 1 1
Direct
0.000 0.000 0.500 Nb
0.000 0.500 0.000 Nb
0.500 0.000 0.000 Nb
0.000 0.000 0.000 Ag
0.500 0.500 0.500 Pd
```

Let's list formation energy in order: -0.156, -0.070, -0.011, 0.883, -0.029, 0.298, 1.321, -0.160, -0.236, 0.629, 0.249, -0.083, -0.136, -0.176, -0.254, 0.016, -0.134, 0.319, -0.333, 1.867 eV/atom.